No. 1
Crystalline PaAlTe2 at its relaxed geometry, computed with GGA-PBE.

Lattice parameters (Å, degrees): 3.855 3.855 9.626 78.45 78.45 60.00
Fractional coordinates of all 4 atoms:
Te1 0.108 0.108 0.675
Al1 0.500 0.500 0.500
Te2 0.892 0.892 0.325
Pa1 0.000 0.000 0.000

Computed properties:
The uncorrected formation energy comes out at 6.37 kJ per mole of atoms. The value obtained for the raw total energy is -19.258 eV per cell.

***

No. 2
Crystalline ThPaAl6 at its relaxed geometry, computed with GGA-PBE.

Lattice parameters (Å, degrees): 4.604 6.411 6.411 119.95 90.00 90.00
Fractional coordinates of all 8 atoms:
Al1 0.000 0.035 0.392
Al2 0.000 0.608 0.965
Al3 0.500 0.896 0.542
Al4 0.500 0.896 0.104
Al5 0.500 0.458 0.104
Pa1 0.000 0.084 0.916
Th1 0.500 0.416 0.584
Al6 0.000 0.607 0.393

Computed properties:
The calculation puts the energy of formation at -323 meV/atom. The value obtained for the raw total energy is -41.953 eV per cell.

***

No. 3
Crystalline Th3Pa5Al12 at its relaxed geometry, computed with GGA-PBE.

Lattice parameters (Å, degrees): 14.837 14.837 14.837 109.47 109.47 109.47
Fractional coordinates of all 80 atoms:
Al1 0.656 0.082 0.227
Pa1 0.375 0.125 0.750
Al2 0.071 0.926 0.344
Al3 0.227 0.644 0.071
Al4 0.773 0.418 0.344
Pa2 0.750 0.125 0.875
Al5 0.656 0.574 0.929
Th1 0.750 0.875 0.625
Al6 0.571 0.727 0.644
Pa3 0.875 0.250 0.625
Pa4 0.875 0.625 0.750
Pa5 0.000 0.500 0.000
Pa6 0.625 0.875 0.250
Pa7 0.250 0.375 0.625
Al7 0.926 0.071 0.844
Al8 0.929 0.074 0.656
Al9 0.856 0.926 0.082
Al10 0.429 0.156 0.574
Th2 0.375 0.750 0.625
Al11 0.071 0.144 0.227
Al12 0.418 0.773 0.844
Th3 0.875 0.125 0.250
Pa8 0.500 0.500 0.000
Al13 0.571 0.844 0.426
Al14 0.644 0.227 0.571
Al15 0.273 0.844 0.918
Pa9 0.000 0.500 0.500
Th4 0.625 0.375 0.750
Al16 0.082 0.426 0.856
Th5 0.875 0.750 0.125
Th6 0.625 0.250 0.375
Al17 0.156 0.429 0.074
Al18 0.144 0.071 0.727
Al19 0.582 0.227 0.156
Al20 0.773 0.356 0.929
Al21 0.074 0.144 0.418
Pa10 0.125 0.750 0.375
Al22 0.918 0.574 0.144
Al23 0.926 0.856 0.582
Th7 0.125 0.875 0.750
Th8 0.250 0.125 0.375
Al24 0.844 0.571 0.926
Pa11 0.625 0.750 0.875
Pa12 0.500 0.000 0.500
Al25 0.356 0.773 0.429
Pa13 0.125 0.375 0.250
Al26 0.227 0.582 0.656
Al27 0.344 0.426 0.071
Al28 0.582 0.356 0.926
Pa14 0.500 0.500 0.500
Pa15 0.375 0.250 0.125
Al29 0.344 0.918 0.773
Al30 0.929 0.856 0.773
Al31 0.426 0.344 0.571
Al32 0.356 0.582 0.426
Al33 0.156 0.727 0.582
Pa16 0.750 0.625 0.375
Pa17 0.250 0.875 0.125
Al34 0.574 0.918 0.644
Al35 0.418 0.644 0.074
Pa18 0.000 0.000 0.500
Al36 0.644 0.418 0.574
Th9 0.750 0.375 0.125
Al37 0.426 0.082 0.356
Al38 0.082 0.656 0.727
Al39 0.574 0.656 0.429
Al40 0.273 0.429 0.856
Al41 0.727 0.571 0.144
Al42 0.844 0.273 0.418
Al43 0.429 0.273 0.356
Pa19 0.000 0.000 0.000
Al44 0.727 0.156 0.082
Th10 0.375 0.625 0.250
Th11 0.250 0.625 0.875
Al45 0.074 0.929 0.156
Th12 0.125 0.250 0.875
Al46 0.144 0.074 0.918
Al47 0.918 0.344 0.273
Pa20 0.500 0.000 0.000
Al48 0.856 0.929 0.273

Computed properties:
The calculation puts the energy of formation at 842 meV/atom. The value obtained for the raw total energy is -391.255 eV per cell.

***

No. 4
Crystalline ThPaAl4 at its relaxed geometry, computed with GGA-PBE.

Lattice parameters (Å, degrees): 5.602 5.602 5.602 60.00 60.00 60.00
Fractional coordinates of all 6 atoms:
Al1 0.625 0.625 0.124
Al2 0.625 0.625 0.625
Pa1 0.000 0.000 0.000
Th1 0.250 0.250 0.250
Al3 0.124 0.625 0.625
Al4 0.625 0.124 0.625

Computed properties:
The calculation puts the energy of formation at -334 meV/atom. The value obtained for the raw total energy is -33.887 eV per cell.

***

No. 5
Crystalline TmThPaAl at its relaxed geometry, computed with GGA-PBE.

Lattice parameters (Å, degrees): 5.269 5.269 5.269 60.00 60.00 60.00
Fractional coordinates of all 4 atoms:
Al1 0.500 0.500 0.500
Th1 0.000 0.000 0.000
Pa1 0.250 0.250 0.250
Tm1 0.750 0.750 0.750

Computed properties:
The calculation puts the energy of formation at 157 meV/atom. The value obtained for the raw total energy is -24.504 eV per cell.

***

No. 6
Crystalline YThPaAl at its relaxed geometry, computed with GGA-PBE.

Lattice parameters (Å, degrees): 5.304 5.304 5.304 60.00 60.00 60.00
Fractional coordinates of all 4 atoms:
Th1 0.500 0.500 0.500
Pa1 0.250 0.250 0.250
Al1 0.000 0.000 0.000
Y1 0.750 0.750 0.750

Computed properties:
The calculation puts the energy of formation at 160 meV/atom. The value obtained for the raw total energy is -26.481 eV per cell.

***

No. 7
Crystalline ThPaAlZn at its relaxed geometry, computed with GGA-PBE.

Lattice parameters (Å, degrees): 5.128 5.128 5.128 60.00 60.00 60.00
Fractional coordinates of all 4 atoms:
Al1 0.750 0.750 0.750
Th1 0.000 0.000 0.000
Pa1 0.500 0.500 0.500
Zn1 0.250 0.250 0.250

Computed properties:
The calculation puts the energy of formation at -9 meV/atom. The value obtained for the raw total energy is -21.967 eV per cell.

***

No. 8
Crystalline PaTiAl2 at its relaxed geometry, computed with GGA-PBE.

Lattice parameters (Å, degrees): 4.825 4.825 4.823 59.99 59.99 60.00
Fractional coordinates of all 4 atoms:
Ti1 0.500 0.500 0.500
Al1 0.750 0.750 0.750
Pa1 0.000 0.000 0.000
Al2 0.250 0.250 0.250

Computed properties:
The calculation puts the energy of formation at -70 meV/atom. The value obtained for the raw total energy is -25.157 eV per cell.

***

No. 9
Crystalline PaTiAl2 at its relaxed geometry, computed with GGA-PBE.

Lattice parameters (Å, degrees): 4.518 4.142 4.142 90.00 90.00 90.00
Fractional coordinates of all 4 atoms:
Al1 0.000 0.000 0.500
Pa1 0.500 0.000 0.000
Ti1 0.500 0.500 0.500
Al2 0.000 0.500 0.000

Computed properties:
The calculation puts the energy of formation at -142 meV/atom. The value obtained for the raw total energy is -25.445 eV per cell.

***

No. 10
Crystalline PaTiAl2 at its relaxed geometry, computed with GGA-PBE.

Lattice parameters (Å, degrees): 2.901 2.901 8.791 90.00 90.00 90.00
Fractional coordinates of all 4 atoms:
Al1 0.000 0.000 0.223
Al2 0.000 0.000 0.777
Pa1 0.500 0.500 0.500
Ti1 0.500 0.500 0.000

Computed properties:
The calculation puts the energy of formation at -264 meV/atom. The value obtained for the raw total energy is -25.933 eV per cell.

***

No. 11
Crystalline PaTi4Al5 at its relaxed geometry, computed with GGA-PBE.

Lattice parameters (Å, degrees): 2.852 2.852 21.019 90.00 90.00 90.00
Fractional coordinates of all 10 atoms:
Ti1 0.000 0.000 0.596
Al1 0.500 0.500 0.117
Ti2 0.000 0.000 0.404
Al2 0.500 0.500 0.308
Ti3 0.000 0.000 0.787
Al3 0.500 0.500 0.883
Al4 0.500 0.500 0.500
Pa1 0.000 0.000 0.000
Ti4 0.000 0.000 0.213
Al5 0.500 0.500 0.692

Computed properties:
The calculation puts the energy of formation at -348 meV/atom. The value obtained for the raw total energy is -63.265 eV per cell.

***

No. 12
Crystalline PaTiAl at its relaxed geometry, computed with GGA-PBE.

Lattice parameters (Å, degrees): 2.852 4.726 8.447 90.00 90.00 90.00
Fractional coordinates of all 6 atoms:
Ti1 0.587 0.915 0.188
Al1 0.087 0.915 0.888
Al2 0.087 0.415 0.312
Pa1 0.587 0.415 0.686
Pa2 0.587 0.915 0.514
Ti2 0.587 0.415 0.012

Computed properties:
The calculation puts the energy of formation at -69 meV/atom. The value obtained for the raw total energy is -42.682 eV per cell.

***

No. 13
Crystalline PaTi2Al at its relaxed geometry, computed with GGA-PBE.

Lattice parameters (Å, degrees): 3.032 3.032 9.676 81.05 81.05 60.04
Fractional coordinates of all 4 atoms:
Pa1 0.500 0.500 0.500
Ti1 0.255 0.255 0.236
Al1 0.666 0.666 0.001
Ti2 0.079 0.079 0.764

Computed properties:
The calculation puts the energy of formation at -51 meV/atom. The value obtained for the raw total energy is -29.232 eV per cell.

***

No. 14
Crystalline PaTiAl at its relaxed geometry, computed with GGA-PBE.

Lattice parameters (Å, degrees): 2.951 4.793 4.793 120.00 90.00 90.00
Fractional coordinates of all 3 atoms:
Pa1 0.143 0.000 0.000
Ti1 0.211 0.333 0.667
Al1 0.645 0.667 0.333

Computed properties:
The calculation puts the energy of formation at 106 meV/atom. The value obtained for the raw total energy is -20.815 eV per cell.

***

No. 15
Crystalline Pa2TiAl6 at its relaxed geometry, computed with GGA-PBE.

Lattice parameters (Å, degrees): 3.146 7.933 7.933 60.00 89.99 89.99
Fractional coordinates of all 9 atoms:
Al1 0.500 0.323 0.677
Pa1 0.000 0.333 0.333
Al2 0.500 0.323 0.000
Al3 0.500 0.677 0.000
Ti1 0.000 0.000 0.000
Al4 0.500 0.000 0.677
Al5 0.500 0.677 0.323
Al6 0.500 0.000 0.323
Pa2 0.000 0.667 0.667

Computed properties:
The calculation puts the energy of formation at -236 meV/atom. The value obtained for the raw total energy is -51.466 eV per cell.

***

No. 16
Crystalline PaTi2Al at its relaxed geometry, computed with GGA-PBE.

Lattice parameters (Å, degrees): 4.697 4.697 4.697 60.00 60.00 60.00
Fractional coordinates of all 4 atoms:
Al1 0.500 0.500 0.500
Pa1 0.000 0.000 0.000
Ti1 0.750 0.750 0.750
Ti2 0.250 0.250 0.250

Computed properties:
The calculation puts the energy of formation at -133 meV/atom. The value obtained for the raw total energy is -29.559 eV per cell.

***

No. 17
Crystalline PaTi2Al at its relaxed geometry, computed with GGA-PBE.

Lattice parameters (Å, degrees): 3.642 4.498 4.498 90.00 90.00 90.00
Fractional coordinates of all 4 atoms:
Al1 0.500 0.000 0.000
Ti1 0.000 0.500 0.000
Pa1 0.500 0.500 0.500
Ti2 0.000 0.000 0.500

Computed properties:
The calculation puts the energy of formation at -172 meV/atom. The value obtained for the raw total energy is -29.715 eV per cell.

***

No. 18
Crystalline TmPaTiAl at its relaxed geometry, computed with GGA-PBE.

Lattice parameters (Å, degrees): 4.948 4.948 4.948 60.00 60.00 60.00
Fractional coordinates of all 4 atoms:
Pa1 0.000 0.000 0.000
Al1 0.500 0.500 0.500
Tm1 0.750 0.750 0.750
Ti1 0.250 0.250 0.250

Computed properties:
The calculation puts the energy of formation at 105 meV/atom. The value obtained for the raw total energy is -25.185 eV per cell.

***

No. 19
Crystalline PaTiAlV at its relaxed geometry, computed with GGA-PBE.

Lattice parameters (Å, degrees): 4.599 4.599 4.599 60.00 60.00 60.00
Fractional coordinates of all 4 atoms:
Al1 0.500 0.500 0.500
Ti1 0.250 0.250 0.250
V1 0.750 0.750 0.750
Pa1 0.000 0.000 0.000

Computed properties:
The calculation puts the energy of formation at -118 meV/atom. The value obtained for the raw total energy is -30.725 eV per cell.

***

No. 20
Crystalline PaTiAlW at its relaxed geometry, computed with GGA-PBE.

Lattice parameters (Å, degrees): 4.660 4.660 4.660 60.00 60.00 60.00
Fractional coordinates of all 4 atoms:
Pa1 0.000 0.000 0.000
Al1 0.500 0.500 0.500
Ti1 0.750 0.750 0.750
W1 0.250 0.250 0.250

Computed properties:
The calculation puts the energy of formation at -64 meV/atom. The value obtained for the raw total energy is -34.344 eV per cell.

***

No. 21
Crystalline ZrPaTiAl at its relaxed geometry, computed with GGA-PBE.

Lattice parameters (Å, degrees): 4.839 4.839 4.839 60.00 60.00 60.00
Fractional coordinates of all 4 atoms:
Ti1 0.000 0.000 0.000
Zr1 0.500 0.500 0.500
Al1 0.250 0.250 0.250
Pa1 0.750 0.750 0.750

Computed properties:
The calculation puts the energy of formation at -59 meV/atom. The value obtained for the raw total energy is -29.919 eV per cell.

***

No. 22
Crystalline PaAlTl at its relaxed geometry, computed with GGA-PBE.

Lattice parameters (Å, degrees): 4.536 3.127 10.199 81.18 90.00 90.00
Fractional coordinates of all 6 atoms:
Pa1 0.250 0.897 0.205
Tl1 0.250 0.703 0.594
Al1 0.250 0.534 0.932
Pa2 0.750 0.103 0.795
Tl2 0.750 0.297 0.406
Al2 0.750 0.466 0.068

Computed properties:
The calculation puts the energy of formation at 37 meV/atom. The value obtained for the raw total energy is -30.986 eV per cell.

***

No. 23
Crystalline TmPaAlTl at its relaxed geometry, computed with GGA-PBE.

Lattice parameters (Å, degrees): 5.217 5.217 5.217 60.00 60.00 60.00
Fractional coordinates of all 4 atoms:
Tm1 0.500 0.500 0.500
Tl1 0.750 0.750 0.750
Pa1 0.000 0.000 0.000
Al1 0.250 0.250 0.250

Computed properties:
The calculation puts the energy of formation at 24 meV/atom. The value obtained for the raw total energy is -19.980 eV per cell.

***

No. 24
Crystalline YPaAlTl at its relaxed geometry, computed with GGA-PBE.

Lattice parameters (Å, degrees): 5.256 5.256 5.256 60.00 60.00 60.00
Fractional coordinates of all 4 atoms:
Tl1 0.000 0.000 0.000
Al1 0.500 0.500 0.500
Pa1 0.250 0.250 0.250
Y1 0.750 0.750 0.750

Computed properties:
The calculation puts the energy of formation at 10 meV/atom. The value obtained for the raw total energy is -22.029 eV per cell.